# Y3Mg3Cu

Y3Mg3Cu after structural relaxation (PBE-GGA, Alexandria via LeMat-Bulk).

```
Y3Mg3Cu
1.0
9.096 0.000 0.000
-4.548 7.877 0.000
0.000 0.000 4.889
Y Mg Cu
6 6 2
Direct
0.152 0.304 0.250
0.152 0.848 0.250
0.304 0.152 0.750
0.696 0.848 0.250
0.848 0.152 0.750
0.848 0.696 0.750
0.116 0.558 0.750
0.442 0.558 0.750
0.442 0.884 0.750
0.558 0.116 0.250
0.558 0.442 0.250
0.884 0.442 0.250
0.333 0.667 0.250
0.667 0.333 0.750
```

Computed properties:
DOS at the Fermi energy   0.54 states/eV/atom
Uncorrected energy   -4.089 eV/atom
Calculated formation energy   -0.35 eV per formula unit